No. 1
TaMo2Pb | PBE | relaxed

Geometry as extended XYZ:
```
4
Lattice="-1.866 3.349 1.967 0.928 -1.064 2.691 5.627 2.192 1.607" Properties=species:S:1:pos:R:3 pbc="T T T"
Mo 0.033 0.000 0.032
Ta 4.265 2.563 4.402
Mo 0.417 1.915 1.855
Pb 3.252 0.564 2.125
```

Calculated values
ΔE_f ... 0.42 eV/atom



No. 2
Ac2CuSi4Ir3 | PBE | relaxed

Geometry as extended XYZ:
```
10
Lattice="4.319 0.000 0.000 0.000 4.319 0.000 0.000 0.000 10.021" Properties=species:S:1:pos:R:3 pbc="T T T"
Ac 0.000 2.160 7.549
Si 2.160 0.000 6.284
Cu 2.160 2.160 5.011
Ir 2.160 0.000 8.785
Si 0.000 0.000 0.000
Ir 0.000 2.160 1.236
Ir 0.000 0.000 5.011
Si 2.160 2.160 0.000
Si 0.000 2.160 3.738
Ac 2.160 0.000 2.473
```

Calculated values
ΔE_f (raw) ... -76 kJ per mole of atoms



No. 3
ZrScSe | PBE | relaxed

Geometry as extended XYZ:
```
12
Lattice="-0.423 2.353 -7.301 2.742 -2.078 -0.829 -5.515 -8.443 2.919" Properties=species:S:1:pos:R:3 pbc="T T T"
Se -4.727 -6.259 0.051
Sc -3.266 -3.965 -0.866
Zr -0.828 -1.145 0.133
Sc -2.672 -2.125 -3.516
Sc 0.863 -0.782 -2.740
Sc -4.059 -7.385 -2.470
Zr -2.214 -6.406 1.178
Se -1.211 0.169 -4.432
Se -0.599 -3.077 -1.823
Zr -5.111 -4.945 -4.514
Se -2.597 -5.091 -3.387
Zr -0.982 -1.762 -6.388
```

Calculated values
Relative energy among the computed polymorphs ... 43.4 meV per atom
ΔE_f (raw) ... -93 kJ per mole of atoms



No. 4
Ta6Pb7 | PBE | relaxed

Geometry as extended XYZ:
```
13
Lattice="-4.239 9.156 5.054 -8.593 7.124 1.657 -7.585 4.688 6.917" Properties=species:S:1:pos:R:3 pbc="T T T"
Pb -9.695 7.537 5.350
Ta -0.752 0.773 0.502
Pb -10.722 13.431 8.278
Ta -13.568 13.934 9.056
Pb -10.209 10.484 6.814
Ta -19.665 20.195 13.126
Pb -8.009 9.789 4.411
Pb -7.501 8.560 7.062
Ta -6.849 7.034 4.571
Ta -16.781 17.234 11.201
Ta -3.636 3.734 2.427
Pb -12.408 11.179 9.216
Pb -12.916 12.408 6.565
```

Calculated values
ΔE_f ... 1.12 eV/atom



Sequential total moment output: 0.00; 0.00; 0.00; 0.00 μB/cell